No. 1
{
  "formula": "Y2H2Pt",
  "functional": "PBE",
  "state": "optimized geometry",
  "cell": [[6.8788, 0.0000, 0.0000], [0.0000, 6.8788, 0.0000], [0.0000, 0.0000, 3.2322]],
  "species": ["Y", "Y", "Y", "Y", "H", "H", "H", "H", "Pt", "Pt"],
  "frac_coords": [[0.1813, 0.6813, 0.5000], [0.6813, 0.8187, 0.5000], [0.8187, 0.3187, 0.5000], [0.3187, 0.1813, 0.5000], [0.3864, 0.8864, 0.0000], [0.8864, 0.6136, 0.0000], [0.6136, 0.1136, 0.0000], [0.1136, 0.3864, 0.0000], [0.0000, 0.0000, 0.0000], [0.5000, 0.5000, 0.0000]],
  "spacegroup": "P4/mbm, No. 127",
  "total_magnetization_mub_per_cell": 0.00,
  "relative_energy_ev_per_atom": 0.427,
  "crystal_system": "tetragonal"
}



No. 2
{
  "formula": "YH12Pt7",
  "functional": "PBE",
  "state": "optimized geometry",
  "cell": [[-5.3807, 3.5931, -2.1031], [-1.0892, -6.6759, -0.7281], [1.5862, 1.5249, 6.4377]],
  "species": ["Y", "H", "H", "H", "H", "H", "H", "H", "H", "H", "H", "H", "H", "Pt", "Pt", "Pt", "Pt", "Pt", "Pt", "Pt"],
  "frac_coords": [[0.0000, 0.0000, 0.0000], [0.8404, 0.2157, 0.8259], [0.7843, 0.1741, 0.1596], [0.3488, 0.2079, 0.4664], [0.7921, 0.5336, 0.6512], [0.1741, 0.1596, 0.7843], [0.5336, 0.6512, 0.7921], [0.4664, 0.3488, 0.2079], [0.8259, 0.8404, 0.2157], [0.2079, 0.4664, 0.3488], [0.6512, 0.7921, 0.5336], [0.2157, 0.8259, 0.8404], [0.1596, 0.7843, 0.1741], [0.0637, 0.5695, 0.8518], [0.4305, 0.1482, 0.9363], [0.1482, 0.9363, 0.4305], [0.5000, 0.5000, 0.5000], [0.8518, 0.0637, 0.5695], [0.5695, 0.8518, 0.0637], [0.9363, 0.4305, 0.1482]],
  "spacegroup": "R-3, No. 148",
  "total_magnetization_mub_per_cell": 0.00,
  "dft_energy_ha_per_atom": -0.165,
  "crystal_system": "trigonal"
}